SrBr | PBE | optimized geometry

The calculation puts the uncorrected formation energy at -1.452 eV per atom. The calculation puts the magnetization at 0.00 μB/f.u. Its crystal system is orthorhombic. The value obtained for the total energy is -3.1297 eV per atom.

Unit cell a=4.5046 b=7.5052 c=14.8095 alpha=90.00 beta=90.00 gamma=90.00
Atoms (fractional coordinates):
Sr 0.5000 0.2735 0.2946
Sr 0.5000 0.3399 0.0000
Sr 0.5000 0.2735 0.7054
Sr 0.0000 0.7265 0.7946
Sr 0.0000 0.7265 0.2054
Sr 0.0000 0.6600 0.5000
Br 0.0000 0.0020 0.6356
Br 0.5000 0.9980 0.1356
Br 0.5000 0.9980 0.8644
Br 0.5000 0.3643 0.5000
Br 0.0000 0.6357 0.0000
Br 0.0000 0.0020 0.3644